[1]
Entry from Alexandria via LeMat-Bulk: a relaxed structure of Na2PmScTe4 (GGA-PBE).

POSCAR file:
```
Na2PmScTe4
1.0
4.3852 0.0000 0.0000
0.0000 7.6031 0.1295
0.0000 -2.6578 7.5134
Te Sc Pm Na
4 1 1 2
direct
0.5000 0.7737 0.7761 Te
0.0000 0.2400 0.7670 Te
0.5000 0.2263 0.2239 Te
0.0000 0.7600 0.2330 Te
0.0000 0.0000 0.0000 Sc
0.5000 0.5000 0.0000 Pm
0.0000 0.5000 0.5000 Na
0.5000 0.0000 0.5000 Na
```

Calculated values
The symmetry is P2/m. The calculation puts the total energy at -4.5299 eV/atom. The formation energy without anion corrections is -1.24 eV/atom.

[2]
Entry from Alexandria via LeMat-Bulk: a relaxed structure of Mg2Sc (GGA-PBE).

POSCAR file:
```
Mg2Sc
1.0
4.7653 0.0000 0.0000
0.0000 6.2499 0.0000
0.0000 0.0000 9.2904
Sc Mg
4 8
direct
0.2500 0.1466 0.0791 Sc
0.7500 0.8534 0.9209 Sc
0.2500 0.6466 0.4209 Sc
0.7500 0.3534 0.5791 Sc
0.7500 0.4176 0.2418 Mg
0.2500 0.5824 0.7582 Mg
0.7500 0.9176 0.2582 Mg
0.2500 0.1506 0.4123 Mg
0.7500 0.8494 0.5877 Mg
0.2500 0.0824 0.7418 Mg
0.2500 0.6506 0.0877 Mg
0.7500 0.3494 0.9123 Mg
```

Calculated values
The symmetry is Pnma. The calculation puts the total energy at -3.1990 eV/atom. As for the density of states at the Fermi level: 0.7774 states/eV per atom. Its formation energy is -0.025 eV per atom.

[3]
Entry from Alexandria via LeMat-Bulk: a relaxed structure of InSbAuCl2 (GGA-PBE).

POSCAR file:
```
InSbAuCl2
1.0
4.9627 0.0000 0.0000
0.0000 5.7363 0.0000
0.0000 0.0000 4.9627
Cl Au Sb In
2 1 1 1
direct
0.5000 0.0000 0.0000 Cl
0.0000 0.0000 0.5000 Cl
0.0000 0.0000 0.0000 Au
0.0000 0.5000 0.0000 Sb
0.5000 0.5000 0.5000 In
```

Calculated values
The symmetry is P4/mmm. The calculation puts the total energy at -2.7937 eV/atom. As for the density of states at the Fermi level: 0.5832 states/eV per atom. The formation energy without anion corrections is -0.03 eV/atom.

[4]
Entry from Alexandria via LeMat-Bulk: a relaxed structure of Nd3Dy7Er2 (GGA-PBE).

POSCAR file:
```
Nd3Dy7Er2
1.0
-1.6390 5.7723 -2.4891
-2.7500 4.5069 3.7851
8.7840 7.4701 3.0620
Dy Er Nd
7 2 3
direct
0.0825 0.5841 0.7493 Dy
0.5841 0.5841 0.7493 Dy
0.5000 0.5000 0.5000 Dy
0.9175 0.4159 0.2507 Dy
0.4159 0.9175 0.2507 Dy
0.4159 0.4159 0.2507 Dy
0.5841 0.0825 0.7493 Dy
0.6667 0.6667 0.9998 Er
0.3333 0.3333 0.0002 Er
0.1558 0.1558 0.5325 Nd
0.8442 0.8442 0.4675 Nd
0.0000 0.0000 0.0000 Nd
```

Calculated values
The symmetry is R-3m. The calculation puts the total energy at -4.3490 eV/atom. As for the density of states at the Fermi level: 1.6114 states/eV per atom. Its formation energy is 0.288 eV per atom.

Q: Number 2 is which compound?
A: Mg2Sc